1.
Material: K2ZnCu3P3O12F
Method: DFT, SCAN
State: PBEsol geometry

Summary:
- Energy relative to the elements, uncorrected: -2066 meV/atom
- Space group: P2_1/m (11)
- N(E_F): 0.000 states/eV per atom

The structure in POSCAR format:
```
K2ZnCu3P3O12F
1.0
4.882 0.000 0.000
0.000 14.380 0.000
-0.033 0.000 7.869
K Zn Cu P O F
4 2 6 6 24 2
Cartesian
0.000 0.000 0.000
0.000 7.190 0.000
0.247 3.595 2.874
4.601 10.785 4.995
2.248 10.785 7.496
2.600 3.595 0.373
-0.017 0.000 3.935
-0.017 7.190 3.935
2.096 9.162 2.788
2.096 12.409 2.788
2.752 1.971 5.081
2.752 5.219 5.081
0.102 3.595 6.473
2.404 8.149 5.546
2.404 13.421 5.546
2.444 0.959 2.323
2.444 6.231 2.323
4.747 10.785 1.397
0.301 9.506 2.151
0.301 12.065 2.151
0.350 10.785 7.806
0.899 8.300 5.203
0.899 13.270 5.203
1.601 1.140 3.655
1.601 6.050 3.655
1.667 3.595 6.506
2.010 2.024 1.319
2.010 5.166 1.319
2.138 7.610 1.698
2.138 13.961 1.698
2.710 0.419 6.172
2.710 6.771 6.172
2.838 9.214 6.550
2.838 12.357 6.550
3.182 10.785 1.364
3.247 8.330 4.214
3.247 13.240 4.214
3.949 1.110 2.667
3.949 6.080 2.667
4.499 3.595 0.063
4.547 2.316 5.719
4.547 4.874 5.719
2.123 10.785 3.862
2.725 3.595 4.007
```

2.
Material: BeTcP2
Method: DFT, SCAN
State: PBEsol geometry

Summary:
- Uncorrected energy: -15.01 eV per atom
- Space group: P4/mmm (123)
- N(E_F): 0.287 states/eV per atom

The structure in POSCAR format:
```
BeTcP2
1.0
2.995 0.000 0.000
0.000 2.995 0.000
0.000 0.000 5.357
Be Tc P
1 1 2
Cartesian
0.000 0.000 0.000
0.000 0.000 2.679
1.498 1.498 1.329
1.498 1.498 4.029
```

3.
Material: MoSeIO2
Method: DFT, SCAN
State: PBEsol geometry

Summary:
- Energy relative to the elements, uncorrected: -698 meV/atom
- Space group: P4/mmm (123)
- N(E_F): 0.361 states/eV per atom

The structure in POSCAR format:
```
MoSeIO2
1.0
3.871 0.000 0.000
0.000 3.871 0.000
0.000 0.000 5.835
Mo Se I O
1 1 1 2
Cartesian
0.000 0.000 0.000
1.935 1.935 2.918
0.000 0.000 2.918
0.000 1.935 0.000
1.935 0.000 0.000
```